Density functional theory data (PBE) for Th2BeCo6Si after structural relaxation. Values from VASP.

Structure (Quantum ESPRESSO input):
```
&SYSTEM
  ibrav = 0, nat = 10, ntyp = 4
/
ATOMIC_SPECIES
Th 232.04 Th.upf
Be 9.01 Be.upf
Co 58.93 Co.upf
Si 28.09 Si.upf
CELL_PARAMETERS angstrom
-5.704 -0.150 1.541
1.316 -3.570 4.523
-1.617 1.469 5.492
ATOMIC_POSITIONS crystal
Th 0.250 0.750 0.500
Th 0.750 0.250 0.500
Be 0.500 0.500 0.000
Co 0.259 0.741 0.000
Co 0.741 0.741 0.000
Co 0.259 0.259 0.482
Co 0.741 0.259 0.000
Co 0.259 0.259 0.000
Co 0.741 0.741 0.518
Si 0.000 0.000 0.000
```

Properties
Energy relative to the elements, uncorrected = -1.98 eV per formula unit
Symmetry = Fm-3m (225)
Total energy = -6.8600 eV/atom
Calculated density = 9.72 Mg/m³